MnCrWO6: optimized geometry, GGA+U.

Cell: 5.0880 5.0880 9.0766 Å, 90.00 90.00 120.00°
Space group P-31c (No. 163)
One atom of each set of equivalent atoms:
Mn1 0.0000 0.0000 0.0000
Cr1 0.3333 0.6667 0.2500
W1 0.3333 0.6667 0.7500
O1 0.0061 0.3522 0.6324

As for the energy: -7.563 eV/atom. The calculation puts the total magnetization at 0.778 μB/atom.